The following is a PBE calculation of a relaxed LaZr2Cu crystal, from Alexandria via LeMat-Bulk.

Results
- crystal system = trigonal
- N(E_F) (states/eV per cell) = 12.20
- spin magnetization (μB/f.u.) = 0.0

Unit cell a=3.3814 b=3.3814 c=28.3977 alpha=90.00 beta=90.00 gamma=120.00
Space group R-3m (No. 166, hexagonal axes)
Asymmetric unit:
La 0.0000 0.0000 0.0000
Zr 0.0000 0.0000 0.2355
Cu 0.0000 0.0000 0.5000

---

The following is a PBE calculation of a relaxed SrPuPb4 crystal, from Alexandria via LeMat-Bulk.

Results
- crystal system = cubic
- N(E_F) (states/eV per cell) = 80.24
- spin magnetization (μB/f.u.) = 6.0

Unit cell a=9.242 b=9.242 c=9.242 alpha=90.00 beta=90.00 gamma=90.00
Space group F-43m (No. 216)
Asymmetric unit:
Sr 0.000 0.000 0.000
Pu 0.250 0.250 0.250
Pb 0.124 0.124 0.624

---

Computed values of formation energy (unit: eV per atom) for the preceding records, in sequence: 0.20, -0.14.